Record 1
PBE Er2CoHg, relaxed; energy of formation = -0.25 eV per atom; excess energy over the best structure of this formula in the dataset = 111 meV/atom
1.0
-0.3242 -1.7037 -4.6672
0.2095 -4.8955 -0.8833
-4.0797 -2.4391 -1.4820
Co Hg Er
1 1 2
Direct
0.5000 0.5000 0.5000
0.0000 0.0000 0.0000
0.2500 0.2500 0.2500
0.7500 0.7500 0.7500

***

Record 2
PBE Er6CoHg3, relaxed; energy of formation = -0.27 eV per atom
1.0
-3.5365 -1.0026 5.1465
6.8747 -0.8929 4.5501
-0.0699 10.1253 2.0926
Er Co Hg
12 2 6
Direct
0.6488 0.1519 0.9389
0.6218 0.2091 0.5677
0.6481 0.4449 0.2717
0.3519 0.5551 0.7283
0.3782 0.7909 0.4323
0.3512 0.8481 0.0611
0.1488 0.3481 0.4389
0.1218 0.2909 0.0677
0.1481 0.0551 0.7717
0.8519 0.9449 0.2283
0.8782 0.7091 0.9323
0.8512 0.6519 0.5611
0.5000 0.5000 0.5000
0.0000 0.0000 0.0000
0.5753 0.8876 0.7303
0.5000 0.5000 0.0000
0.4247 0.1124 0.2697
0.0753 0.6124 0.2303
0.0000 0.0000 0.5000
0.9247 0.3876 0.7697

***

Record 3
PBE Er3Co2Hg2, relaxed; energy of formation = -0.37 eV per atom
1.0
-2.8335 -0.5308 2.4378
2.4404 0.1753 2.8746
-2.8629 10.1701 1.8101
Er Co Hg
3 2 2
Direct
0.8248 0.0000 0.3504
0.0000 0.0000 0.0000
0.1752 0.0000 0.6496
0.7228 0.5000 0.5545
0.2772 0.5000 0.4455
0.5862 0.5000 0.8276
0.4138 0.5000 0.1724

***

Record 4
PBE ErLuCoHg, relaxed; energy of formation = -0.25 eV per atom
1.0
4.9467 0.0000 0.0000
2.4733 4.2840 0.0000
2.4733 1.4280 4.0389
Lu Co Hg Er
1 1 1 1
Direct
0.5000 0.5000 0.5000
0.2500 0.2500 0.2500
0.7500 0.7500 0.7500
0.0000 0.0000 0.0000

***

Record 5
PBE NdErCoHg, relaxed; energy of formation = -0.17 eV per atom
1.0
-2.5245 3.0944 -3.1649
-4.3360 -1.5638 -2.1724
-4.4463 2.0346 1.4339
Co Nd Hg Er
1 1 1 1
Direct
0.2500 0.2500 0.2500
0.5000 0.5000 0.5000
0.7500 0.7500 0.7500
0.0000 0.0000 0.0000

***

Record 6
PBE SmErCoHg, relaxed; energy of formation = -0.20 eV per atom
1.0
-0.3438 -4.6105 2.0587
3.8491 -1.8530 2.7138
-0.4518 -0.5045 5.0155
Co Hg Sm Er
1 1 1 1
Direct
0.7500 0.7500 0.7500
0.2500 0.2500 0.2500
0.0000 0.0000 0.0000
0.5000 0.5000 0.5000

***

Record 7
PBE ErTmCoHg, relaxed; energy of formation = -0.25 eV per atom; excess energy over the best structure of this formula in the dataset = 113 meV/atom
1.0
4.9664 0.0000 0.0000
2.4832 4.3010 0.0000
2.4832 1.4337 4.0550
Tm Co Hg Er
1 1 1 1
Direct
0.5000 0.5000 0.5000
0.7500 0.7500 0.7500
0.2500 0.2500 0.2500
0.0000 0.0000 0.0000

***

Record 8
PBE ErTmCoHg, relaxed; energy of formation = -0.37 eV per atom; excess energy over the best structure of this formula in the dataset = 0 meV/atom
1.0
3.3913 0.0000 0.0000
0.0000 3.3913 0.0000
0.0000 0.0000 7.4505
Er Tm Co Hg
1 1 1 1
Direct
0.5000 0.5000 0.7874
0.5000 0.5000 0.3548
0.0000 0.0000 0.5694
0.0000 0.0000 0.0731

***

Record 9
PBE YErCoHg, relaxed; energy of formation = -0.24 eV per atom
1.0
-2.8223 -3.4218 2.3310
1.6915 -4.6834 0.5584
1.3176 -1.6633 4.5392
Y Co Hg Er
1 1 1 1
Direct
0.7500 0.7500 0.7500
0.0000 0.0000 0.0000
0.5000 0.5000 0.5000
0.2500 0.2500 0.2500

***

Record 10
PBE Er2ZnCoHg, relaxed; energy of formation = -0.37 eV per atom
1.0
3.7864 0.0000 0.0000
0.0000 8.0053 -0.0435
0.0000 -3.3665 7.0596
Er Zn Co Hg
4 2 2 2
Direct
0.7500 0.8927 0.6598
0.7500 0.7083 0.9996
0.2500 0.1073 0.3402
0.2500 0.2917 0.0004
0.2500 0.5807 0.6467
0.7500 0.4193 0.3533
0.2500 0.9132 0.9200
0.7500 0.0868 0.0800
0.2500 0.6955 0.3134
0.7500 0.3045 0.6866

***

Record 11
PBE Ho2Er5Co4, relaxed; energy of formation = -0.02 eV per atom
1.0
-1.9815 1.5923 -5.9788
-0.2169 -5.2517 -4.8566
-7.0590 1.0925 -0.8993
Ho Er Co
2 5 4
Direct
0.2851 0.7531 0.6768
0.7149 0.2469 0.3232
0.2275 0.2292 0.8285
0.7725 0.7708 0.1715
0.0000 0.5000 0.5000
0.7148 0.2292 0.8285
0.2852 0.7708 0.1715
0.2220 0.0746 0.4814
0.7780 0.9254 0.5186
0.6429 0.8589 0.8552
0.3571 0.1411 0.1448

***

Record 12
PBE Ho2ErCo2, relaxed; energy of formation = -0.19 eV per atom; excess energy over the best structure of this formula in the dataset = 0 meV/atom
1.0
-5.2582 -1.1577 -2.0085
4.7838 -1.6988 -3.3238
-0.5150 -5.6181 4.5864
Ho Er Co
4 2 4
Direct
0.5420 0.3175 0.1510
0.2245 0.6825 0.3490
0.4580 0.6825 0.8490
0.7755 0.3175 0.6510
0.9081 0.0000 0.2500
0.0919 0.0000 0.7500
0.6938 0.6702 0.4870
0.0236 0.3298 0.0130
0.3062 0.3298 0.5130
0.9764 0.6702 0.9870

***

Record 13
PBE HoErCo, relaxed; energy of formation = -0.06 eV per atom; excess energy over the best structure of this formula in the dataset = 81 meV/atom
1.0
3.8277 0.0000 0.0000
-1.9138 3.3149 0.0000
0.0000 0.0000 6.1536
Co Ho Er
1 1 1
Direct
0.6667 0.3333 0.3338
0.0000 0.0000 0.1002
0.3333 0.6667 0.5660

***

Record 14
PBE HoEr4Co4, relaxed; energy of formation = -0.09 eV per atom
1.0
-4.7609 1.3690 2.4270
-1.4865 -8.0429 1.6209
3.9408 0.7449 7.3103
Ho Er Co
2 8 8
Direct
0.0000 0.0000 0.0000
0.5000 0.5000 0.5000
0.3815 0.3124 0.9235
0.8815 0.5765 0.8124
0.3815 0.6876 0.0765
0.1185 0.1876 0.5765
0.6185 0.9235 0.6876
0.1185 0.8124 0.4235
0.8815 0.4235 0.1876
0.6185 0.0765 0.3124
0.6342 0.7627 0.3622
0.6342 0.2373 0.6378
0.1342 0.8622 0.7373
0.8658 0.2627 0.8622
0.8658 0.7373 0.1378
0.3658 0.3622 0.2373
0.3658 0.6378 0.7627
0.1342 0.1378 0.2627

***

Record 15
PBE Ho3Er5Co2, relaxed; energy of formation = -0.04 eV per atom
1.0
7.6020 0.0000 0.0000
3.8010 8.8465 0.4228
3.8010 2.7553 8.4172
Ho Er Co
6 10 4
Direct
0.2500 0.0000 0.0000
0.7500 0.0000 0.0000
0.3763 0.3812 0.8661
0.6237 0.6188 0.1339
0.8763 0.8661 0.3812
0.1237 0.1339 0.6188
0.2500 0.5000 0.5000
0.7500 0.5000 0.5000
0.5033 0.7467 0.7467
0.9967 0.2533 0.2533
0.4967 0.2533 0.2533
0.0033 0.7467 0.7467
0.1243 0.6182 0.1332
0.8757 0.3818 0.8668
0.6243 0.1332 0.6182
0.3757 0.8668 0.3818
0.1304 0.8694 0.8698
0.8696 0.1306 0.1302
0.6304 0.8698 0.8694
0.3696 0.1302 0.1306

***

Record 16
PBE Ho5Er3Co2, relaxed; energy of formation = -0.04 eV per atom
1.0
-6.5780 -2.6839 2.6884
-4.1161 -6.4979 -5.8269
0.4926 -9.2509 2.7010
Ho Er Co
10 6 4
Direct
0.2500 0.5000 0.5000
0.7500 0.5000 0.5000
0.5035 0.7465 0.7465
0.9965 0.2535 0.2535
0.4965 0.2535 0.2535
0.0035 0.7465 0.7465
0.1230 0.6204 0.1337
0.8770 0.3796 0.8663
0.6230 0.1337 0.6204
0.3770 0.8663 0.3796
0.2500 0.0000 0.0000
0.7500 0.0000 0.0000
0.3758 0.3807 0.8676
0.6242 0.6193 0.1324
0.8758 0.8676 0.3807
0.1242 0.1324 0.6193
0.1297 0.8704 0.8702
0.8703 0.1296 0.1298
0.6297 0.8702 0.8704
0.3703 0.1298 0.1296

***

Record 17
PBE HoErCo2, relaxed; energy of formation = -0.23 eV per atom; excess energy over the best structure of this formula in the dataset = 0 meV/atom
1.0
3.8435 0.0000 0.0000
0.0000 5.4831 0.0000
0.0000 0.0000 7.4273
Ho Er Co
2 2 4
Direct
0.0000 0.1342 0.6776
0.0000 0.8658 0.1776
0.5000 0.3660 0.3220
0.5000 0.6340 0.8220
0.0000 0.6479 0.5279
0.0000 0.3521 0.0279
0.5000 0.8495 0.4725
0.5000 0.1505 0.9725

***

Record 18
PBE Ho2ErCo2, relaxed; energy of formation = -0.18 eV per atom; excess energy over the best structure of this formula in the dataset = 16 meV/atom
1.0
-3.5279 -1.5963 0.2866
-0.0055 -3.9105 4.4542
-2.4456 1.5750 4.9697
Ho Er Co
2 1 2
Direct
0.6931 0.8149 0.2988
0.3069 0.1851 0.7012
0.5000 0.5000 0.0000
0.0158 0.1739 0.2944
0.9842 0.8261 0.7056

***

Record 19
PBE HoEr2Co2, relaxed; energy of formation = -0.10 eV per atom; excess energy over the best structure of this formula in the dataset = 80 meV/atom
1.0
3.6951 0.0000 0.0000
0.0000 5.4477 0.1247
-1.8475 -1.4327 5.3968
Ho Er Co
1 2 2
Direct
0.0000 0.0000 0.0000
0.3516 0.4185 0.7033
0.6484 0.5815 0.2967
0.7163 0.1047 0.4326
0.2837 0.8953 0.5674

***

Record 20
PBE HoEr4Co, relaxed; energy of formation = -0.05 eV per atom
1.0
-5.6130 0.2871 -1.1505
-1.4962 -1.7011 6.8751
3.5568 8.4007 -0.9587
Ho Er Co
2 8 2
Direct
0.8033 0.8032 0.6063
0.1967 0.1968 0.3937
0.1732 0.6731 0.3463
0.3812 0.1282 0.7623
0.0000 0.2257 0.0000
0.6188 0.3659 0.2377
0.8268 0.3269 0.6537
0.6188 0.8718 0.2377
0.0000 0.7743 0.0000
0.3812 0.6341 0.7623
0.3015 0.5001 0.0002
0.6985 0.4999 0.9998

***

Record 21
PBE HoErCo, relaxed; energy of formation = -0.08 eV per atom; excess energy over the best structure of this formula in the dataset = 65 meV/atom
1.0
-2.1963 -3.8202 -1.4932
0.4023 -1.3288 -4.4407
2.4375 -3.8144 -1.0751
Co Ho Er
1 1 1
Direct
0.2500 0.2500 0.2500
0.5000 0.5000 0.5000
0.0000 0.0000 0.0000

***

Record 22
PBE HoErCo2, relaxed; energy of formation = -0.18 eV per atom; excess energy over the best structure of this formula in the dataset = 49 meV/atom
1.0
4.6829 0.0000 0.0000
2.3415 4.0555 0.0000
2.3415 1.3518 3.8236
Co Ho Er
2 1 1
Direct
0.2500 0.2500 0.2500
0.7500 0.7500 0.7500
0.0000 0.0000 0.0000
0.5000 0.5000 0.5000

***

Record 23
PBE HoErCo2, relaxed; energy of formation = -0.18 eV per atom; excess energy over the best structure of this formula in the dataset = 49 meV/atom
1.0
-0.4934 2.2103 2.4327
-2.7937 -3.0430 2.1982
3.6891 -1.7184 2.3096
Co Ho Er
2 1 1
Direct
0.0000 0.0000 0.5000
0.0000 0.5000 0.0000
0.5000 0.5000 0.5000
0.5000 0.0000 0.0000

***

Record 24
PBE Ho2Er3Co2, relaxed; energy of formation = -0.19 eV per atom
1.0
-2.0298 1.7973 2.4162
-1.6943 -5.9575 0.2790
7.2142 2.0288 4.5513
Ho Er Co
2 3 2
Direct
0.8287 0.6574 0.1961
0.1713 0.3426 0.8039
0.5000 0.0000 0.0000
0.6182 0.2364 0.4277
0.3818 0.7636 0.5723
0.8223 0.6446 0.7595
0.1777 0.3554 0.2405

***

Record 25
PBE HoErCo, relaxed; energy of formation = -0.14 eV per atom; excess energy over the best structure of this formula in the dataset = 0 meV/atom
1.0
3.3406 0.0000 0.0000
0.0000 3.3406 0.0000
-1.6703 -1.6703 6.2470
Co Ho Er
1 1 1
Direct
0.6672 0.6672 0.3344
0.0378 0.0378 0.0757
0.2950 0.2950 0.5899